(1)
Density functional theory data (PBE-GGA) for a relaxed SiH2I6 crystal.

Lattice parameters (Å, degrees): 6.435 12.143 12.143 106.15 76.26 76.26
Fractional coordinates of all 18 atoms:
1 I 0.563 0.638 0.148
2 I 0.125 0.786 0.003
3 I 0.375 0.997 0.214
4 I 0.625 0.003 0.786
5 I 0.937 0.852 0.362
6 I 0.063 0.148 0.638
7 I 0.924 0.580 0.722
8 I 0.437 0.362 0.852
9 H 0.774 0.332 0.364
10 Si 0.750 0.182 0.818
11 I 0.076 0.420 0.278
12 I 0.875 0.214 0.997
13 H 0.226 0.668 0.636
14 I 0.424 0.722 0.580
15 Si 0.250 0.818 0.182
16 H 0.274 0.364 0.332
17 H 0.726 0.636 0.668
18 I 0.576 0.278 0.420

Properties
total DFT energy (no corrections)	-46.2	eV for the cell shown
SG	No. 15
DOS at the Fermi energy	0.0	states/eV/f.u.
crystal system	monoclinic

=====

(2)
Density functional theory data (PBE-GGA) for a relaxed SiH3I6 crystal.

Lattice parameters (Å, degrees): 8.557 17.957 8.336 138.62 90.00 90.00
Site moments in Bohr magnetons follow the coordinates.
Fractional coordinates of all 20 atoms:
1 I 0.059 0.665 0.645  0.00
2 H 0.270 0.351 0.377  0.00
3 I 0.815 0.634 0.118  0.10
4 H 0.073 0.013 0.149  0.00
5 I 0.559 0.335 0.355  0.00
6 H 0.038 0.785 0.732  0.00
7 H 0.770 0.649 0.623  0.00
8 I 0.180 0.049 0.500  0.10
9 H 0.573 0.987 0.851  0.00
10 I 0.510 0.029 0.097  0.00
11 I 0.851 0.289 0.793  0.08
12 I 0.074 0.357 0.385  0.10
13 H 0.538 0.215 0.268  0.00
14 Si 0.116 0.257 0.858  0.22
15 I 0.574 0.643 0.615  0.10
16 Si 0.616 0.743 0.142  0.22
17 I 0.315 0.366 0.882  0.10
18 I 0.010 0.971 0.903  0.00
19 I 0.351 0.711 0.207  0.08
20 I 0.680 0.951 0.500  0.10

Properties
excess energy over the best structure of this formula in the dataset	0.000	eV per atom
SG	No. 4
DOS at the Fermi energy	0.1	states/eV/f.u.
crystal system	monoclinic

=====

(3)
Density functional theory data (PBE-GGA) for a relaxed SiH3I2 crystal.

Lattice parameters (Å, degrees): 9.209 6.386 6.386 60.87 67.74 67.74
Fractional coordinates of all 12 atoms:
1 I 0.746 0.098 0.412
2 I 0.254 0.902 0.588
3 I 0.754 0.588 0.902
4 I 0.246 0.412 0.098
5 H 0.904 0.915 0.974
6 H 0.250 0.375 0.625
7 H 0.750 0.625 0.375
8 H 0.596 0.026 0.085
9 H 0.404 0.974 0.915
10 Si 0.750 0.854 0.146
11 Si 0.250 0.146 0.854
12 H 0.096 0.085 0.026

Properties
total DFT energy (no corrections)	-37.7	eV for the cell shown
SG	No. 15
DOS at the Fermi energy	1.9	states/eV/f.u.
crystal system	monoclinic

=====

(4)
Density functional theory data (PBE-GGA) for a relaxed SiHI crystal.

Lattice parameters (Å, degrees): 4.225 4.096 4.635 90.00 96.53 90.00
Fractional coordinates of all 3 atoms:
1 Si 0.509 0.000 0.728
2 H 0.574 0.000 0.060
3 I 0.943 0.500 0.668

Properties
excess energy over the best structure of this formula in the dataset	0.388	eV per atom
SG	No. 6
crystal system	monoclinic

=====

(5)
Density functional theory data (PBE-GGA) for a relaxed SiH4I crystal.

Lattice parameters (Å, degrees): 4.188 4.810 9.009 105.55 103.44 90.00
Fractional coordinates of all 12 atoms:
1 H 0.224 0.716 0.439
2 H 0.437 0.081 0.664
3 H 0.563 0.919 0.336
4 H 0.215 0.216 0.439
5 I 0.248 0.250 0.000
6 Si 0.000 0.500 0.500
7 I 0.752 0.750 0.000
8 Si 0.500 0.000 0.500
9 H 0.226 0.581 0.664
10 H 0.776 0.284 0.561
11 H 0.785 0.784 0.561
12 H 0.774 0.419 0.336

Properties
excess energy over the best structure of this formula in the dataset	0.000	eV per atom
SG	No. 15
DOS at the Fermi energy	0.3	states/eV/f.u.
crystal system	monoclinic

=====

(6)
Density functional theory data (PBE-GGA) for a relaxed Si2HI crystal.

Lattice parameters (Å, degrees): 5.001 5.001 7.409 70.27 70.27 90.00
Fractional coordinates of all 8 atoms:
1 Si 0.401 0.125 0.250
2 H 0.250 0.750 0.500
3 I 0.750 0.250 0.500
4 Si 0.875 0.651 0.750
5 Si 0.375 0.599 0.750
6 H 0.500 0.500 0.000
7 I 0.000 0.000 0.000
8 Si 0.349 0.625 0.250

Properties
excess energy over the best structure of this formula in the dataset	0.850	eV per atom
SG	No. 122
DOS at the Fermi energy	1.7	states/eV/f.u.
crystal system	tetragonal

=====

(7)
Density functional theory data (PBE-GGA) for a relaxed SiHI crystal.

Lattice parameters (Å, degrees): 4.044 6.424 7.736 65.49 75.09 89.99
Fractional coordinates of all 6 atoms:
1 I 0.163 0.920 0.598
2 Si 0.514 0.355 0.903
3 H 0.602 0.308 0.723
4 H 0.423 0.132 0.086
5 Si 0.014 0.551 0.901
6 I 0.867 0.623 0.202

Properties
excess energy over the best structure of this formula in the dataset	0.001	eV per atom
SG	No. 1
DOS at the Fermi energy	0.0	states/eV/f.u.
crystal system	triclinic

=====

(8)
Density functional theory data (PBE-GGA) for a relaxed SiHI crystal.

Lattice parameters (Å, degrees): 4.092 4.251 4.950 86.75 65.83 89.95
Fractional coordinates of all 3 atoms:
1 H 0.966 0.619 0.134
2 I 0.659 0.064 0.743
3 Si 0.134 0.620 0.795

Properties
excess energy over the best structure of this formula in the dataset	0.390	eV per atom
SG	No. 1
crystal system	triclinic

=====

(9)
Density functional theory data (PBE-GGA) for a relaxed Si2HI crystal.

Lattice parameters (Å, degrees): 7.706 3.975 6.885 90.00 107.67 90.00
Fractional coordinates of all 8 atoms:
1 Si 0.789 0.500 0.073
2 H 0.089 0.000 0.008
3 H 0.089 0.500 0.508
4 Si 0.884 0.500 0.439
5 I 0.453 0.500 0.958
6 Si 0.884 0.000 0.939
7 I 0.453 0.000 0.458
8 Si 0.789 0.000 0.573

Properties
excess energy over the best structure of this formula in the dataset	0.054	eV per atom
SG	No. 8
crystal system	monoclinic

=====

(10)
Density functional theory data (PBE-GGA) for a relaxed Si2HI crystal.

Lattice parameters (Å, degrees): 3.977 5.951 8.925 90.00 102.53 90.00
Fractional coordinates of all 8 atoms:
1 Si 0.294 0.639 0.591
2 I 0.586 0.356 0.164
3 Si 0.706 0.139 0.409
4 Si 0.799 0.418 0.602
5 Si 0.201 0.918 0.398
6 I 0.414 0.856 0.836
7 H 0.125 0.809 0.243
8 H 0.875 0.309 0.757

Properties
excess energy over the best structure of this formula in the dataset	0.013	eV per atom
SG	No. 4
DOS at the Fermi energy	0.0	states/eV/f.u.
crystal system	monoclinic

=====

(11)
Density functional theory data (PBE-GGA) for a relaxed SiHI crystal.

Lattice parameters (Å, degrees): 5.601 6.255 6.258 95.07 118.98 102.04
Fractional coordinates of all 6 atoms:
1 I 0.107 0.421 0.640
2 Si 0.697 0.709 0.943
3 H 0.743 0.602 0.159
4 H 0.730 0.573 0.757
5 I 0.257 0.951 0.167
6 Si 0.298 0.860 0.748

Properties
excess energy over the best structure of this formula in the dataset	0.203	eV per atom
SG	No. 1
DOS at the Fermi energy	0.0	states/eV/f.u.
crystal system	triclinic

=====

(12)
Density functional theory data (PBE-GGA) for a relaxed Si2HI crystal.

Lattice parameters (Å, degrees): 3.976 8.653 5.927 90.00 90.00 90.00
Fractional coordinates of all 8 atoms:
1 Si 0.000 0.602 0.139
2 H 0.000 0.756 0.025
3 Si 0.500 0.398 0.639
4 Si 0.500 0.593 0.361
5 I 0.500 0.842 0.574
6 H 0.500 0.244 0.525
7 I 0.000 0.158 0.074
8 Si 0.000 0.407 0.861

Properties
excess energy over the best structure of this formula in the dataset	0.013	eV per atom
SG	No. 31
crystal system	orthorhombic